Record 1
Entry from Alexandria via LeMat-Bulk: BaGa3Pt after structural relaxation (GGA-PBE).

POSCAR file:
```
BaGa3Pt
1.0
-2.285 2.285 5.379
2.285 -2.285 5.379
2.285 2.285 -5.379
Ba Ga Pt
1 3 1
direct
0.000 0.000 0.000
0.248 0.748 0.500
0.395 0.395 0.000
0.748 0.248 0.500
0.635 0.635 0.000
```

Output
calculated density	8.0	Mg/m³
ΔE to the lowest computed polymorph	0.000	eV per formula unit
spin magnetization	0.0	μB/f.u.
symmetry	I4mm

***

Record 2
Entry from Alexandria via LeMat-Bulk: Ba2GaPt after structural relaxation (GGA-PBE).

POSCAR file:
```
Ba2GaPt
1.0
-4.384 4.384 3.763
4.384 -4.384 3.763
4.384 4.384 -3.763
Ba Ga Pt
4 2 2
direct
0.087 0.625 0.962
0.375 0.337 0.462
0.663 0.125 0.038
0.875 0.913 0.538
0.250 0.750 0.500
0.500 0.500 0.000
0.000 0.000 0.000
0.750 0.250 0.500
```

Output
calculated density	6.2	Mg/m³
VASP energy	-13.7	eV per formula unit
spin magnetization	0.0	μB/f.u.
symmetry	I-42d

***

Record 3
Entry from Alexandria via LeMat-Bulk: BaPuGa2Pt2 after structural relaxation (GGA-PBE).

POSCAR file:
```
BaPuGa2Pt2
1.0
4.513 0.000 0.000
-2.256 3.908 0.000
0.000 0.000 8.108
Ba Pu Ga Pt
1 1 2 2
direct
0.000 0.000 0.000
0.000 0.000 0.500
0.333 0.667 0.295
0.667 0.333 0.705
0.333 0.667 0.692
0.667 0.333 0.308
```

Output
calculated density	10.6	Mg/m³
VASP energy	-39.1	eV per formula unit
spin magnetization	5.4	μB/f.u.
symmetry	P-3m1

***

Record 4
Entry from Alexandria via LeMat-Bulk: Ba2Ga6PtRh after structural relaxation (GGA-PBE).

POSCAR file:
```
Ba2Ga6PtRh
1.0
5.763 -3.331 0.000
5.763 3.331 0.000
-3.842 0.000 5.964
Ba Ga Pt Rh
2 6 1 1
direct
0.208 0.208 0.125
0.792 0.792 0.875
0.250 0.250 0.657
0.250 0.658 0.657
0.342 0.750 0.343
0.658 0.250 0.657
0.750 0.342 0.343
0.750 0.750 0.343
0.500 0.500 0.000
0.000 0.000 0.500
```

Output
calculated density	7.2	Mg/m³
VASP energy	-41.2	eV per formula unit
spin magnetization	0.0	μB/f.u.
symmetry	C2/m